(1)
First-principles (PBE) data for crystalline Ce2Mg2Ni15 at its relaxed geometry, as listed in Alexandria via LeMat-Bulk.

a = 6.4014 Å, b = 6.4014 Å, c = 6.4014 Å
α = 82.43°, β = 82.43°, γ = 82.43°
With the nearest neighbours (Å) after each atom.
Fractional positions:
Ni 0.8240 0.3435 0.3435  8 Ni 2.34-2.54, 1 Ce 2.62
Ni 0.1760 0.6565 0.6565  8 Ni 2.34-2.54, 1 Ce 2.62
Ni 0.0000 0.5000 0.0000  8 Ni 2.48-2.50, 2 Ce 2.51
Ni 0.0000 0.6707 0.3293  8 Ni 2.49-2.78
Ni 0.6707 0.0000 0.3293  8 Ni 2.49-2.78
Ni 0.3435 0.8240 0.3435  8 Ni 2.34-2.54, 1 Ce 2.62
Ni 0.0000 0.3293 0.6707  8 Ni 2.49-2.78
Ni 0.3293 0.6707 0.0000  8 Ni 2.49-2.78
Ni 0.3293 0.0000 0.6707  8 Ni 2.49-2.78
Ni 0.5000 0.0000 0.0000  8 Ni 2.48-2.50, 2 Ce 2.51
Ni 0.6707 0.3293 0.0000  8 Ni 2.49-2.78
Ni 0.0000 0.0000 0.5000  8 Ni 2.48-2.50, 2 Ce 2.51
Ni 0.3435 0.3435 0.8240  8 Ni 2.34-2.54, 1 Ce 2.62
Ni 0.6565 0.6565 0.1760  8 Ni 2.34-2.54, 1 Ce 2.62
Ni 0.6565 0.1760 0.6565  8 Ni 2.34-2.54, 1 Ce 2.62
Mg 0.6230 0.6230 0.6230  12 Ni 2.77-2.88, 1 Mg 3.07
Mg 0.3770 0.3770 0.3770  12 Ni 2.77-2.88, 1 Mg 3.07
Ce 0.8828 0.8828 0.8828  6 Ni 2.51-2.62
Ce 0.1172 0.1172 0.1172  6 Ni 2.51-2.62

Output
Energy relative to the elements ... -0.12 eV/atom
Mass density ... 7.843 g/cm3


(2)
First-principles (PBE) data for crystalline CeMgNi2 at its relaxed geometry, as listed in Alexandria via LeMat-Bulk.

a = 3.1606 Å, b = 4.6512 Å, c = 4.6512 Å
α = 90.00°, β = 90.00°, γ = 90.00°
With the nearest neighbours (Å) after each atom.
Fractional positions:
Mg 0.5000 0.5000 0.5000  8 Ni 2.81
Ni 0.0000 0.5000 0.0000  4 Ce 2.81, 4 Mg 2.81
Ni 0.0000 0.0000 0.5000  4 Ce 2.81, 4 Mg 2.81
Ce 0.5000 0.0000 0.0000  8 Ni 2.81

Output
Energy relative to the elements ... -0.20 eV/atom
Mass density ... 6.844 g/cm3


(3)
First-principles (PBE) data for crystalline CeMg6Ni6 at its relaxed geometry, as listed in Alexandria via LeMat-Bulk.

a = 5.1202 Å, b = 6.8323 Å, c = 6.8323 Å
α = 80.60°, β = 67.99°, γ = 67.99°
With the nearest neighbours (Å) after each atom.
Fractional positions:
Mg 0.0000 0.6634 0.3366  6 Ni 2.72-2.73, 1 Mg 2.89, 1 Ce 2.98
Mg 0.3058 0.1942 0.1942  6 Ni 2.60-2.68
Mg 0.3485 0.6515 0.6515  6 Ni 2.71-2.77, 3 Mg 2.75-2.92
Mg 0.0000 0.3366 0.6634  6 Ni 2.72-2.73, 1 Mg 2.89, 1 Ce 2.98
Mg 0.6515 0.3485 0.3485  6 Ni 2.71-2.77, 3 Mg 2.75-2.92
Mg 0.6942 0.8058 0.8058  6 Ni 2.60-2.68
Ni 0.5000 0.0000 0.5000  4 Ni 2.56-2.61, 6 Mg 2.60-2.72
Ni 0.0000 0.5000 0.0000  4 Ni 2.56-2.61, 6 Mg 2.60-2.72
Ni 0.5000 0.2279 0.7721  4 Ni 2.61, 6 Mg 2.68-2.77
Ni 0.5000 0.7721 0.2279  4 Ni 2.61, 6 Mg 2.68-2.77
Ni 0.0000 0.0000 0.5000  4 Ni 2.56-2.61, 6 Mg 2.60-2.72
Ni 0.5000 0.5000 0.0000  4 Ni 2.56-2.61, 6 Mg 2.60-2.72
Ce 0.0000 0.0000 0.0000  8 Mg 2.98-3.16, 4 Ni 3.26

Output
Energy relative to the elements ... -0.16 eV/atom
Mass density ... 5.159 g/cm3


(4)
First-principles (PBE) data for crystalline CeMgNi17 at its relaxed geometry, as listed in Alexandria via LeMat-Bulk.

a = 6.2240 Å, b = 6.2240 Å, c = 6.2240 Å
α = 82.81°, β = 82.81°, γ = 82.81°
With the nearest neighbours (Å) after each atom.
Fractional positions:
Ni 0.1570 0.6510 0.6510  9 Ni 2.40-2.60
Ni 0.3451 0.3451 0.8496  9 Ni 2.37-2.54
Ni 0.2962 0.7033 0.0008  8 Ni 2.36-2.51
Ni 0.2962 0.0008 0.7033  8 Ni 2.36-2.51
Ni 0.1004 0.1004 0.1004  7 Ni 2.40-2.54
Ni 0.8496 0.3451 0.3451  9 Ni 2.37-2.54
Ni 0.3451 0.8496 0.3451  9 Ni 2.37-2.54
Ni 0.7033 0.0008 0.2962  8 Ni 2.36-2.51
Ni 0.5010 0.0003 0.0003  10 Ni 2.36-2.51
Ni 0.9013 0.9013 0.9013  7 Ni 2.40-2.60
Ni 0.0008 0.2962 0.7033  8 Ni 2.36-2.51
Ni 0.7033 0.2962 0.0008  8 Ni 2.36-2.51
Ni 0.0008 0.7033 0.2962  8 Ni 2.36-2.51
Ni 0.6510 0.1570 0.6510  9 Ni 2.40-2.60
Ni 0.6510 0.6510 0.1570  9 Ni 2.40-2.60
Ni 0.0003 0.5010 0.0003  10 Ni 2.36-2.51
Ni 0.0003 0.0003 0.5010  10 Ni 2.36-2.51
Ce 0.6586 0.6586 0.6586  19 Ni 2.91-3.18
Mg 0.3386 0.3386 0.3386  19 Ni 2.87-3.19

Output
Energy relative to the elements ... -0.09 eV/atom
Mass density ... 8.183 g/cm3


(5)
First-principles (PBE) data for crystalline Ce2MgNi at its relaxed geometry, as listed in Alexandria via LeMat-Bulk.

a = 3.5374 Å, b = 3.5374 Å, c = 9.6380 Å
α = 79.43°, β = 79.43°, γ = 60.00°
With the nearest neighbours (Å) after each atom.
Fractional positions:
Ce 0.0648 0.0648 0.8056  3 Ni 2.73
Ce 0.2685 0.2685 0.1945  3 Ni 2.75
Mg 0.4995 0.4995 0.5015  6 Ce 3.52-3.54, 6 Mg 3.54
Ni 0.6672 0.6672 0.9985  6 Ce 2.73-2.75

Output
Energy relative to the elements ... 0.02 eV/atom
Mass density ... 5.909 g/cm3


(6)
First-principles (PBE) data for crystalline Ce2MgNi at its relaxed geometry, as listed in Alexandria via LeMat-Bulk.

a = 3.5851 Å, b = 3.5851 Å, c = 7.2699 Å
α = 90.00°, β = 90.00°, γ = 90.00°
With the nearest neighbours (Å) after each atom.
Fractional positions:
Ce 0.0000 0.0000 0.1966  1 Ce 2.86, 4 Ni 2.91
Ce 0.0000 0.0000 0.8034  1 Ce 2.86, 4 Ni 2.91
Mg 0.5000 0.5000 0.5000  8 Ce 3.36, 4 Mg 3.59, 2 Ni 3.63
Ni 0.5000 0.5000 0.0000  8 Ce 2.91

Output
Energy relative to the elements ... -0.11 eV/atom
Mass density ... 6.455 g/cm3


(7)
First-principles (PBE) data for crystalline CeMgNi4 at its relaxed geometry, as listed in Alexandria via LeMat-Bulk.

a = 4.9705 Å, b = 4.9705 Å, c = 4.9705 Å
α = 60.00°, β = 60.00°, γ = 60.00°
With the nearest neighbours (Å) after each atom.
Fractional positions:
Ni 0.8712 0.3763 0.3763  6 Ni 2.46-2.51
Ni 0.3763 0.8712 0.3763  6 Ni 2.46-2.51
Ni 0.3763 0.3763 0.3763  6 Ni 2.46-2.51
Ni 0.3763 0.3763 0.8712  6 Ni 2.46-2.51
Mg 0.7500 0.7500 0.7500  12 Ni 2.91, 4 Ce 3.04
Ce 0.0000 0.0000 0.0000  12 Ni 2.92, 4 Mg 3.04

Output
Energy relative to the elements ... -0.39 eV/atom
Mass density ... 7.634 g/cm3


(8)
First-principles (PBE) data for crystalline CeMg2Ni at its relaxed geometry, as listed in Alexandria via LeMat-Bulk.

a = 4.8616 Å, b = 4.8616 Å, c = 4.8616 Å
α = 60.00°, β = 60.00°, γ = 60.00°
With the nearest neighbours (Å) after each atom.
Fractional positions:
Ni 0.7500 0.7500 0.7500  4 Mg 2.98, 4 Ce 2.98
Ce 0.0000 0.0000 0.0000  4 Mg 2.98, 4 Ni 2.98
Mg 0.2500 0.2500 0.2500  4 Ce 2.98, 4 Mg 2.98
Mg 0.5000 0.5000 0.5000  4 Mg 2.98, 4 Ni 2.98

Output
Energy relative to the elements ... -0.04 eV/atom
Mass density ... 5.057 g/cm3


(9)
First-principles (PBE) data for crystalline CeMg2Ni9 at its relaxed geometry, as listed in Alexandria via LeMat-Bulk.

a = 4.8552 Å, b = 4.8552 Å, c = 8.3898 Å
α = 73.18°, β = 73.18°, γ = 60.00°
With the nearest neighbours (Å) after each atom.
Fractional positions:
Ni 0.0823 0.5863 0.7450  7 Ni 2.40-2.46
Ni 0.4137 0.9177 0.2550  7 Ni 2.40-2.46
Ni 0.4137 0.4137 0.2550  7 Ni 2.40-2.46
Ni 0.9177 0.4137 0.2550  7 Ni 2.40-2.46
Ni 0.5863 0.0823 0.7450  7 Ni 2.40-2.46
Ni 0.5000 0.5000 0.5000  6 Ni 2.40
Ni 0.6662 0.6662 0.0013  6 Ni 2.45-2.46
Ni 0.5863 0.5863 0.7450  7 Ni 2.40-2.46
Ni 0.3338 0.3338 0.9987  6 Ni 2.45-2.46
Ce 0.0000 0.0000 0.0000  6 Ni 2.80
Mg 0.8555 0.8555 0.4335  12 Ni 2.81-2.85, 3 Mg 2.99
Mg 0.1445 0.1445 0.5665  12 Ni 2.81-2.85, 3 Mg 2.99

Output
Energy relative to the elements ... -0.28 eV/atom
Mass density ... 7.375 g/cm3


(10)
First-principles (PBE) data for crystalline Ce3MgNi8 at its relaxed geometry, as listed in Alexandria via LeMat-Bulk.

a = 5.0154 Å, b = 5.0154 Å, c = 8.7347 Å
α = 73.32°, β = 73.32°, γ = 60.00°
With the nearest neighbours (Å) after each atom.
Fractional positions:
Ni 0.1880 0.1880 0.4359  6 Ni 2.48-2.50
Ni 0.6876 0.6876 0.9371  6 Ni 2.54-2.55
Ni 0.4357 0.9365 0.1920  6 Ni 2.48-2.55
Ni 0.4423 0.9375 0.6826  6 Ni 2.48-2.54
Ni 0.9375 0.9375 0.6826  6 Ni 2.48-2.54
Ni 0.9375 0.4423 0.6826  6 Ni 2.48-2.54
Ni 0.4357 0.4357 0.1920  6 Ni 2.48-2.55
Ni 0.9365 0.4357 0.1920  6 Ni 2.48-2.55
Ce 0.3751 0.3751 0.8746  12 Ni 2.94-2.99, 4 Ce 3.10-3.15
Ce 0.5024 0.5024 0.4929  12 Ni 2.87-2.96, 3 Mg 3.05, 1 Ce 3.15
Ce 0.9974 0.9974 0.0078  12 Ni 2.93-3.05, 1 Mg 3.05, 3 Ce 3.10
Mg 0.8741 0.8741 0.3776  12 Ni 2.89-2.94, 4 Ce 3.05

Output
Energy relative to the elements ... -0.38 eV/atom
Mass density ... 8.456 g/cm3


(11)
First-principles (PBE) data for crystalline Ce2Mg2Ni15 at its relaxed geometry, as listed in Alexandria via LeMat-Bulk.

a = 6.3626 Å, b = 6.3626 Å, c = 6.3626 Å
α = 82.29°, β = 82.29°, γ = 82.29°
With the nearest neighbours (Å) after each atom.
Fractional positions:
Mg 0.8981 0.8981 0.8981  1 Mg 2.53, 6 Ni 2.55-2.61
Mg 0.1019 0.1019 0.1019  1 Mg 2.53, 6 Ni 2.55-2.61
Ni 0.0000 0.6934 0.3066  8 Ni 2.44-2.57
Ni 0.0000 0.5000 0.0000  8 Ni 2.43-2.44, 2 Mg 2.55
Ni 0.6548 0.1593 0.6548  8 Ni 2.41-2.55, 1 Mg 2.61
Ni 0.0000 0.0000 0.5000  8 Ni 2.43-2.44, 2 Mg 2.55
Ni 0.6934 0.3066 0.0000  8 Ni 2.44-2.57
Ni 0.1593 0.6548 0.6548  8 Ni 2.41-2.55, 1 Mg 2.61
Ni 0.5000 0.0000 0.0000  8 Ni 2.43-2.44, 2 Mg 2.55
Ni 0.3066 0.6934 0.0000  8 Ni 2.44-2.57
Ni 0.3452 0.8407 0.3452  8 Ni 2.41-2.55, 1 Mg 2.61
Ni 0.3452 0.3452 0.8407  8 Ni 2.41-2.55, 1 Mg 2.61
Ni 0.0000 0.3066 0.6934  8 Ni 2.44-2.57
Ni 0.3066 0.0000 0.6934  8 Ni 2.44-2.57
Ni 0.6934 0.0000 0.3066  8 Ni 2.44-2.57
Ni 0.6548 0.6548 0.1593  8 Ni 2.41-2.55, 1 Mg 2.61
Ni 0.8407 0.3452 0.3452  8 Ni 2.41-2.55, 1 Mg 2.61
Ce 0.6492 0.6492 0.6492  15 Ni 2.92-3.26, 1 Mg 3.09
Ce 0.3508 0.3508 0.3508  15 Ni 2.92-3.26, 1 Mg 3.09

Output
Energy relative to the elements ... -0.23 eV/atom
Mass density ... 7.995 g/cm3


(12)
First-principles (PBE) data for crystalline CeMgNi2 at its relaxed geometry, as listed in Alexandria via LeMat-Bulk.

a = 3.6764 Å, b = 4.0110 Å, c = 5.1793 Å
α = 90.00°, β = 110.81°, γ = 90.00°
With the nearest neighbours (Å) after each atom.
Fractional positions:
Ni 0.1551 0.5000 0.8496  2 Ni 2.49, 3 Mg 2.76-2.78
Ni 0.0035 0.0000 0.5455  2 Ni 2.49, 1 Ce 2.65, 4 Mg 2.78
Mg 0.4426 0.5000 0.4239  7 Ni 2.76-2.78
Ce 0.7298 0.0000 0.9990  7 Ni 2.65-2.87

Output
Energy relative to the elements ... -0.30 eV/atom
Mass density ... 6.555 g/cm3